Entry 1:
Here is a geometry-optimized CsAlTe2 structure from the Alexandria database. Energies are from PBE.

Formation energy (no corrections) = -0.770 eV per atom
Total magnetic moment = 0.000 μB/cell
Symmetry = Pna2_1 (33)

Cell: 7.6032 12.0052 7.3730 Å, 90.00 90.00 90.00°
With the nearest neighbours (Å) after each atom.
Positions (direct):
Cs  0.0572  0.1258  0.0000  5 Te 3.77-3.99
Cs  0.4428  0.6258  0.5000  5 Te 3.77-3.99
Cs  0.5572  0.3743  0.0000  5 Te 3.77-3.99
Cs  0.9428  0.8742  0.5000  5 Te 3.77-3.99
Al  0.0372  0.3741  0.4524  4 Te 2.65-2.67
Al  0.4628  0.8741  0.9524  4 Te 2.65-2.67
Al  0.5372  0.1259  0.4524  4 Te 2.65-2.67
Al  0.9628  0.6259  0.9524  4 Te 2.65-2.67
Te  0.0505  0.4333  0.1037  2 Al 2.65-2.67
Te  0.1342  0.8125  0.0320  2 Al 2.66-2.67
Te  0.3658  0.3125  0.5320  2 Al 2.66-2.67
Te  0.4495  0.9333  0.6037  2 Al 2.65-2.67
Te  0.5505  0.0667  0.1037  2 Al 2.65-2.67
Te  0.6342  0.6875  0.0320  2 Al 2.66-2.67
Te  0.8658  0.1875  0.5320  2 Al 2.66-2.67
Te  0.9495  0.5667  0.6037  2 Al 2.65-2.67

---

Entry 2:
Here is a geometry-optimized CsAlTe2 structure from the Alexandria database. Energies are from PBE.

Formation energy (no corrections) = -0.726 eV per atom
Total magnetic moment = 0.000 μB/cell
Symmetry = Pnma (62)

Cell: 22.4573 4.4581 6.6725 Å, 90.00 90.00 90.00°
With the nearest neighbours (Å) after each atom.
Positions (direct):
Cs  0.1648  0.2500  0.1529  7 Te 3.83-4.21
Cs  0.3352  0.7500  0.6529  7 Te 3.83-4.21
Cs  0.6648  0.2500  0.3471  7 Te 3.83-4.21
Cs  0.8352  0.7500  0.8471  7 Te 3.83-4.21
Al  0.0541  0.7500  0.6200  4 Te 2.50-2.78
Al  0.4459  0.2500  0.1200  4 Te 2.50-2.78
Al  0.5541  0.7500  0.8800  4 Te 2.50-2.78
Al  0.9459  0.2500  0.3800  4 Te 2.50-2.78
Te  0.0080  0.7500  0.2454  3 Al 2.70-2.78
Te  0.1646  0.7500  0.6607  1 Al 2.50
Te  0.3354  0.2500  0.1607  1 Al 2.50
Te  0.4920  0.2500  0.7454  3 Al 2.70-2.78
Te  0.5080  0.7500  0.2546  3 Al 2.70-2.78
Te  0.6646  0.7500  0.8393  1 Al 2.50
Te  0.8354  0.2500  0.3393  1 Al 2.50
Te  0.9920  0.2500  0.7546  3 Al 2.70-2.78